(1)
# Sr2AgPt PBE optimized geometry
# space group	R-3m, No. 166
# crystal system	trigonal
# ΔE_f	-0.46	eV/atom
# ΔE to the lowest computed polymorph	0.56	eV/f.u.
data_Sr2AgPt
_chemical_formula_sum 'Sr2 Ag1 Pt1'
_space_group_name_H-M_alt 'P 1'
_space_group_IT_number 1
_cell_length_a 8.0356
_cell_length_b 8.0356
_cell_length_c 8.0356
_cell_angle_alpha 31.90
_cell_angle_beta 31.90
_cell_angle_gamma 31.90
loop_
_space_group_symop_operation_xyz
'x,y,z'
loop_
_atom_site_label
_atom_site_fract_x
_atom_site_fract_y
_atom_site_fract_z
Sr1 0.2394 0.2394 0.2394
Sr2 0.7606 0.7606 0.7606
Ag1 0.0000 0.0000 0.0000
Pt1 0.5000 0.5000 0.5000

(2)
# RhSe PBE optimized geometry
# ΔE_f (raw)	71	meV/atom
# space group	Imma, No. 74
# crystal system	orthorhombic
data_RhSe
_chemical_formula_sum 'Rh2 Se2'
_space_group_name_H-M_alt 'P 1'
_space_group_IT_number 1
_cell_length_a 5.4783
_cell_length_b 5.4783
_cell_length_c 5.4783
_cell_angle_alpha 147.08
_cell_angle_beta 132.10
_cell_angle_gamma 59.35
loop_
_space_group_symop_operation_xyz
'x,y,z'
loop_
_atom_site_label
_atom_site_fract_x
_atom_site_fract_y
_atom_site_fract_z
Rh1 0.3611 0.1111 0.2500
Rh2 0.6389 0.8889 0.7500
Se1 0.1424 0.3924 0.7500
Se2 0.8576 0.6076 0.2500

(3)
# AlInTe2 PBE optimized geometry
# ΔE_f (raw)	-287	meV/atom
# space group	R-3m, No. 166
# crystal system	trigonal
data_AlInTe2
_chemical_formula_sum 'Al1 In1 Te2'
_space_group_name_H-M_alt 'P 1'
_space_group_IT_number 1
_cell_length_a 8.1840
_cell_length_b 8.1840
_cell_length_c 8.1840
_cell_angle_alpha 29.41
_cell_angle_beta 29.41
_cell_angle_gamma 29.41
loop_
_space_group_symop_operation_xyz
'x,y,z'
loop_
_atom_site_label
_atom_site_fract_x
_atom_site_fract_y
_atom_site_fract_z
Al1 0.0000 0.0000 0.0000
In1 0.5000 0.5000 0.5000
Te1 0.2676 0.2676 0.2676
Te2 0.7324 0.7324 0.7324

(4)
# YNiAu PBE optimized geometry
# space group	P4/nmm, No. 129
# crystal system	tetragonal
# ΔE_f	-0.56	eV/atom
data_YNiAu
_chemical_formula_sum 'Y2 Ni2 Au2'
_space_group_name_H-M_alt 'P 1'
_space_group_IT_number 1
_cell_length_a 4.1757
_cell_length_b 4.1757
_cell_length_c 6.7937
_cell_angle_alpha 90.00
_cell_angle_beta 90.00
_cell_angle_gamma 90.00
loop_
_space_group_symop_operation_xyz
'x,y,z'
loop_
_atom_site_label
_atom_site_fract_x
_atom_site_fract_y
_atom_site_fract_z
Y1 0.2500 0.2500 0.1888
Y2 0.7500 0.7500 0.8112
Ni1 0.2500 0.7500 0.5000
Ni2 0.7500 0.2500 0.5000
Au1 0.2500 0.2500 0.7408
Au2 0.7500 0.7500 0.2592

(5)
# PmAlCuNi PBE optimized geometry
# space group	Cm, No. 8
# crystal system	monoclinic
# ΔE_f	-0.43	eV/atom
# ΔE to the lowest computed polymorph	0.00	eV/f.u.
data_PmAlCuNi
_chemical_formula_sum 'Pm1 Al1 Cu1 Ni1'
_space_group_name_H-M_alt 'P 1'
_space_group_IT_number 1
_cell_length_a 4.2434
_cell_length_b 4.2434
_cell_length_c 5.3040
_cell_angle_alpha 113.56
_cell_angle_beta 113.56
_cell_angle_gamma 59.86
loop_
_space_group_symop_operation_xyz
'x,y,z'
loop_
_atom_site_label
_atom_site_fract_x
_atom_site_fract_y
_atom_site_fract_z
Pm1 0.0000 0.0000 0.0000
Al1 0.4917 0.4917 0.4755
Cu1 0.2017 0.2017 0.6055
Ni1 0.8014 0.8014 0.4049

(6)
# Pr4SnTeN PBE optimized geometry
# ΔE_f (raw)	-964	meV/atom
# space group	Cmcm, No. 63
# crystal system	orthorhombic
data_Pr4SnTeN
_chemical_formula_sum 'Pr8 Sn2 Te2 N2'
_space_group_name_H-M_alt 'P 1'
_space_group_IT_number 1
_cell_length_a 9.3381
_cell_length_b 9.3381
_cell_length_c 6.8324
_cell_angle_alpha 90.00
_cell_angle_beta 90.00
_cell_angle_gamma 137.54
loop_
_space_group_symop_operation_xyz
'x,y,z'
loop_
_atom_site_label
_atom_site_fract_x
_atom_site_fract_y
_atom_site_fract_z
Pr1 0.0000 0.5000 0.0000
Pr2 0.0000 0.5000 0.5000
Pr3 0.0768 0.9232 0.7500
Pr4 0.4188 0.5812 0.7500
Pr5 0.5000 0.0000 0.0000
Pr6 0.5000 0.0000 0.5000
Pr7 0.5812 0.4188 0.2500
Pr8 0.9232 0.0768 0.2500
Sn1 0.3914 0.6086 0.2500
Sn2 0.6086 0.3914 0.7500
Te1 0.1105 0.8895 0.2500
Te2 0.8895 0.1105 0.7500
N1 0.2792 0.7208 0.7500
N2 0.7208 0.2792 0.2500

(7)
# Nd2PaB2N6 PBE optimized geometry
# ΔE_f (raw)	-1064	meV/atom
# space group	P-3, No. 147
# crystal system	trigonal
data_Nd2PaB2N6
_chemical_formula_sum 'Nd2 Pa1 B2 N6'
_space_group_name_H-M_alt 'P 1'
_space_group_IT_number 1
_cell_length_a 5.5788
_cell_length_b 5.5788
_cell_length_c 5.5750
_cell_angle_alpha 90.00
_cell_angle_beta 90.00
_cell_angle_gamma 120.00
loop_
_space_group_symop_operation_xyz
'x,y,z'
loop_
_atom_site_label
_atom_site_fract_x
_atom_site_fract_y
_atom_site_fract_z
Nd1 0.3333 0.6667 0.3257
Nd2 0.6667 0.3333 0.6743
Pa1 0.0000 0.0000 0.0000
B1 0.3333 0.6667 0.7904
B2 0.6667 0.3333 0.2096
N1 0.1295 0.3755 0.7646
N2 0.2460 0.8705 0.7646
N3 0.3755 0.2460 0.2354
N4 0.6245 0.7540 0.7646
N5 0.7540 0.1295 0.2354
N6 0.8705 0.6245 0.2354

(8)
# K5Rb2Na3 PBE optimized geometry
# space group	Ibam, No. 72
# crystal system	orthorhombic
# ΔE_f	0.06	eV/atom
# ΔE to the lowest computed polymorph	0.32	eV/f.u.
data_K5Rb2Na3
_chemical_formula_sum 'K10 Rb4 Na6'
_space_group_name_H-M_alt 'P 1'
_space_group_IT_number 1
_cell_length_a 13.3770
_cell_length_b 13.3770
_cell_length_c 13.3770
_cell_angle_alpha 101.33
_cell_angle_beta 90.15
_cell_angle_gamma 143.22
loop_
_space_group_symop_operation_xyz
'x,y,z'
loop_
_atom_site_label
_atom_site_fract_x
_atom_site_fract_y
_atom_site_fract_z
K1 0.1645 0.5696 0.7341
K2 0.2500 0.2500 0.0000
K3 0.2500 0.5203 0.2703
K4 0.2500 0.9797 0.7297
K5 0.3355 0.0696 0.4051
K6 0.6645 0.9304 0.5949
K7 0.7500 0.0203 0.2703
K8 0.7500 0.4797 0.7297
K9 0.7500 0.7500 0.0000
K10 0.8355 0.4304 0.2659
Rb1 0.2154 0.8453 0.0607
Rb2 0.2846 0.3453 0.6298
Rb3 0.7154 0.6547 0.3702
Rb4 0.7846 0.1547 0.9393
Na1 0.1407 0.1350 0.2757
Na2 0.2500 0.7500 0.5000
Na3 0.3593 0.6350 0.9943
Na4 0.6407 0.3650 0.0057
Na5 0.7500 0.2500 0.5000
Na6 0.8593 0.8650 0.7243

(9)
# YHoIn3 PBE optimized geometry
# space group	I-4m2, No. 119
# crystal system	tetragonal
# ΔE_f	0.12	eV/atom
# ΔE to the lowest computed polymorph	1.61	eV/f.u.
data_YHoIn3
_chemical_formula_sum 'Y2 Ho2 In6'
_space_group_name_H-M_alt 'P 1'
_space_group_IT_number 1
_cell_length_a 11.7173
_cell_length_b 11.7173
_cell_length_c 11.7173
_cell_angle_alpha 151.27
_cell_angle_beta 151.27
_cell_angle_gamma 41.08
loop_
_space_group_symop_operation_xyz
'x,y,z'
loop_
_atom_site_label
_atom_site_fract_x
_atom_site_fract_y
_atom_site_fract_z
Y1 0.0000 0.0000 0.0000
Y2 0.7500 0.2500 0.5000
Ho1 0.4191 0.4191 0.0000
Ho2 0.5809 0.5809 0.0000
In1 0.0070 0.5070 0.5000
In2 0.3748 0.1275 0.2473
In3 0.4930 0.9930 0.5000
In4 0.8725 0.1197 0.2473
In5 0.8725 0.6252 0.7527
In6 0.8803 0.1275 0.7527

(10)
# Ac3CuAg2 PBE optimized geometry
# space group	Cmmm, No. 65
# crystal system	orthorhombic
# ΔE_f	-0.20	eV/atom
# ΔE to the lowest computed polymorph	0.03	eV/f.u.
data_Ac3CuAg2
_chemical_formula_sum 'Ac3 Cu1 Ag2'
_space_group_name_H-M_alt 'P 1'
_space_group_IT_number 1
_cell_length_a 8.7693
_cell_length_b 8.7693
_cell_length_c 3.8817
_cell_angle_alpha 90.00
_cell_angle_beta 90.00
_cell_angle_gamma 142.88
loop_
_space_group_symop_operation_xyz
'x,y,z'
loop_
_atom_site_label
_atom_site_fract_x
_atom_site_fract_y
_atom_site_fract_z
Ac1 0.0000 0.0000 0.0000
Ac2 0.3399 0.6601 0.0000
Ac3 0.6601 0.3399 0.0000
Cu1 0.5000 0.5000 0.5000
Ag1 0.1707 0.8293 0.5000
Ag2 0.8293 0.1707 0.5000

(11)
# CuAg2Rh PBE optimized geometry
# space group	R3m, No. 160
# crystal system	trigonal
# ΔE_f	0.15	eV/atom
# ΔE to the lowest computed polymorph	0.03	eV/f.u.
data_CuAg2Rh
_chemical_formula_sum 'Cu1 Ag2 Rh1'
_space_group_name_H-M_alt 'P 1'
_space_group_IT_number 1
_cell_length_a 9.3703
_cell_length_b 9.3703
_cell_length_c 9.3703
_cell_angle_alpha 17.15
_cell_angle_beta 17.15
_cell_angle_gamma 17.15
loop_
_space_group_symop_operation_xyz
'x,y,z'
loop_
_atom_site_label
_atom_site_fract_x
_atom_site_fract_y
_atom_site_fract_z
Cu1 0.0000 0.0000 0.0000
Ag1 0.5059 0.5059 0.5059
Ag2 0.7479 0.7479 0.7479
Rh1 0.2589 0.2589 0.2589

(12)
# Tb2Nd3Sm6Y PBE optimized geometry
# space group	C2/m, No. 12
# crystal system	monoclinic
# ΔE_f	0.01	eV/atom
data_Tb2Nd3Sm6Y
_chemical_formula_sum 'Tb2 Nd3 Sm6 Y1'
_space_group_name_H-M_alt 'P 1'
_space_group_IT_number 1
_cell_length_a 6.2861
_cell_length_b 6.2861
_cell_length_c 12.0232
_cell_angle_alpha 95.00
_cell_angle_beta 95.00
_cell_angle_gamma 119.99
loop_
_space_group_symop_operation_xyz
'x,y,z'
loop_
_atom_site_label
_atom_site_fract_x
_atom_site_fract_y
_atom_site_fract_z
Tb1 0.1666 0.8334 0.0000
Tb2 0.8334 0.1666 0.0000
Nd1 0.0000 0.0000 0.5000
Nd2 0.3332 0.6668 0.5000
Nd3 0.6668 0.3332 0.5000
Sm1 0.0833 0.4173 0.7533
Sm2 0.2488 0.2488 0.2469
Sm3 0.4173 0.0833 0.7533
Sm4 0.5827 0.9167 0.2467
Sm5 0.7512 0.7512 0.7531
Sm6 0.9167 0.5827 0.2467
Y1 0.5000 0.5000 0.0000

Short version: E_tot = -14.1; -21.4; -13.9; -34.4; -20.1; -82.7; -94.0; -21.6; -37.3; -23.3; -16.5; -58.2 eV/cell, in the order given.